No. 1
The following is a SCAN calculation of ZnAsW at its PBEsol-relaxed geometry, from the Alexandria database.

a = 2.6544 Å, b = 4.4910 Å, c = 4.4910 Å
α = 120.00°, β = 90.00°, γ = 90.00°
Fractional positions:
As: 0.8322 0.0000 0.0000
W: 0.8334 0.3333 0.6667
Zn: 0.3344 0.6667 0.3333

Properties
volume: 15.455 A^3/atom
SG: P3m1, No. 156
formation energy from the elements: 0.43 eV per atom

---

No. 2
The following is a SCAN calculation of ZnAsW2 at its PBEsol-relaxed geometry, from the Alexandria database.

a = 2.8059 Å, b = 2.8059 Å, c = 8.3955 Å
α = 90.00°, β = 90.00°, γ = 111.95°
Fractional positions:
As: 0.5000 0.5000 0.0000
W: 0.0000 0.0000 0.2404
W: 0.0000 0.0000 0.7596
Zn: 0.5000 0.5000 0.5000

Properties
volume: 15.326 A^3/atom
SG: Cmmm, No. 65
formation energy from the elements: 0.58 eV per atom

---

No. 3
The following is a SCAN calculation of Zn2AsW at its PBEsol-relaxed geometry, from the Alexandria database.

a = 3.0178 Å, b = 3.0178 Å, c = 8.2272 Å
α = 79.43°, β = 79.43°, γ = 60.00°
Fractional positions:
As: 0.5049 0.5049 0.4852
W: 0.2465 0.2465 0.2604
Zn: 0.0007 0.0007 0.9979
Zn: 0.7478 0.7478 0.7565

Properties
volume: 15.854 A^3/atom
SG: R3m, No. 160
formation energy from the elements: 0.27 eV per atom

---

No. 4
The following is a SCAN calculation of Zn2AsW at its PBEsol-relaxed geometry, from the Alexandria database.

a = 3.2842 Å, b = 3.2842 Å, c = 5.4634 Å
α = 90.00°, β = 90.00°, γ = 90.00°
Fractional positions:
As: 0.0000 0.0000 0.5162
W: 0.5000 0.5000 0.7369
Zn: 0.0000 0.0000 0.0156
Zn: 0.5000 0.5000 0.2314

Properties
volume: 14.732 A^3/atom
SG: P4mm, No. 99
formation energy from the elements: 0.16 eV per atom